The following is a DFT calculation (PBE-GGA) of an optimized crystal structure of Na4SmRh3O8.

Cell: 6.380 6.604 6.380 Å, 118.89 120.00 90.00°
Element x y z (fractional)
O 0.748 0.283 0.496
Na 0.500 0.000 0.500
O 0.729 0.688 0.459
Na 0.000 0.000 0.000
O 0.286 0.283 0.035
Rh 0.000 0.500 0.500
Na 0.000 0.000 0.500
Sm 0.000 0.500 0.000
Na 0.500 0.000 0.000
O 0.252 0.717 0.504
O 0.714 0.717 0.965
O 0.748 0.283 0.035
O 0.252 0.717 0.965
Rh 0.500 0.500 0.000
Rh 0.500 0.500 0.500
O 0.271 0.312 0.541

As for the space group: No. 166. The calculation puts the total moment at 0.00 μB per cell. The formation energy without anion corrections is -1.4635 eV/atom.

---

The following is a DFT calculation (PBE-GGA) of an optimized crystal structure of Na3SnRh3O8.

Cell: 6.282 6.282 6.540 Å, 118.71 90.00 120.00°
Element x y z (fractional)
O 0.268 0.035 0.302
O 0.732 0.965 0.698
Na 0.500 0.500 0.000
O 0.269 0.539 0.308
Rh 0.000 0.500 0.500
Na 0.000 0.000 0.000
Rh 0.500 0.000 0.500
Na 0.000 0.500 0.000
O 0.767 0.035 0.302
Sn 0.000 0.000 0.500
O 0.233 0.965 0.698
Rh 0.500 0.500 0.500
O 0.767 0.534 0.302
O 0.731 0.461 0.692
O 0.233 0.466 0.698

As for the space group: No. 166. The calculation puts the total moment at 0.00 μB per cell. The formation energy without anion corrections is -1.1994 eV/atom.

---

The following is a DFT calculation (PBE-GGA) of an optimized crystal structure of NaSnRhO4.

Cell: 6.445 6.386 6.444 Å, 120.30 90.00 120.31°
Element x y z (fractional)
Rh 0.500 0.500 0.500
O 0.733 0.032 0.266
Na 0.124 0.248 0.874
O 0.266 0.532 0.309
O 0.267 0.968 0.734
O 0.266 0.532 0.723
Sn 0.500 0.000 0.000
O 0.701 0.968 0.734
O 0.299 0.032 0.266
Na 0.876 0.752 0.126
Rh 0.000 0.500 0.500
Sn 0.500 0.000 0.500
O 0.734 0.468 0.691
O 0.734 0.468 0.277

As for the space group: No. 74. The calculation puts the total moment at 0.00 μB per cell. The formation energy without anion corrections is -1.3647 eV/atom.

---

The following is a DFT calculation (PBE-GGA) of an optimized crystal structure of Na3SnRh2O6.

Cell: 5.594 5.594 5.630 Å, 99.38 99.38 120.04°
Element x y z (fractional)
O 0.933 0.601 0.799
Na 0.500 0.500 0.500
Na 0.825 0.175 0.500
Rh 0.334 0.666 0.000
O 0.734 0.734 0.202
Sn 0.000 0.000 0.000
O 0.399 0.067 0.201
O 0.067 0.399 0.201
Rh 0.666 0.334 0.000
O 0.601 0.933 0.799
O 0.266 0.266 0.798
Na 0.175 0.825 0.500

Its density of states at the Fermi level is 3.408 states/eV per cell. As for the space group: No. 12. The calculation puts the total moment at 0.00 μB per cell. The formation energy without anion corrections is -1.2262 eV/atom.

---

The following is a DFT calculation (PBE-GGA) of an optimized crystal structure of Na2SnRh2O6.

Cell: 5.473 5.473 5.830 Å, 99.85 99.85 120.51°
Element x y z (fractional)
O 0.262 0.262 0.305
O 0.065 0.409 0.693
O 0.738 0.738 0.695
Na 0.827 0.173 0.000
Rh 0.334 0.666 0.500
Na 0.173 0.827 0.000
Rh 0.666 0.334 0.500
Sn 0.000 0.000 0.500
O 0.409 0.065 0.693
O 0.591 0.935 0.307
O 0.935 0.591 0.307

As for the space group: No. 12. The calculation puts the total moment at 0.00 μB per cell. The formation energy without anion corrections is -1.2743 eV/atom.

---

The following is a DFT calculation (PBE-GGA) of an optimized crystal structure of Na2SrRhO4.

Cell: 6.783 6.783 8.407 Å, 128.23 128.23 75.46°
Each line ends with the local moment (μB).
Element x y z (fractional)
Rh 0.500 0.500 0.500  1.63
Na 0.500 0.000 0.000  0.00
Na 0.500 0.500 0.000  0.00
Sr 0.000 0.500 0.500  0.01
O 0.250 0.715 0.482  0.27
O 0.501 0.501 0.270  0.26
O 0.001 0.001 0.770  0.26
O 0.499 0.499 0.730  0.26
O 0.999 0.999 0.230  0.26
Sr 0.000 0.500 0.000  0.01
O 0.215 0.750 0.982  0.27
Na 0.500 0.000 0.500  0.00
O 0.785 0.250 0.018  0.27
Rh 0.000 0.000 0.000  1.63
O 0.750 0.285 0.518  0.27
Na 0.000 0.000 0.500  0.00

Its density of states at the Fermi level is 4.220 states/eV per cell. As for the space group: No. 15. The calculation puts the total moment at 6.04 μB per cell. The formation energy without anion corrections is -1.4624 eV/atom.

---

The following is a DFT calculation (PBE-GGA) of an optimized crystal structure of Na3Sr3RhO8.

Cell: 7.064 7.064 6.904 Å, 120.77 90.00 120.00°
Each line ends with the local moment (μB).
Element x y z (fractional)
O 0.254 0.508 0.261  -0.14
Sr 0.000 0.500 0.500  0.01
O 0.799 0.599 0.298  0.14
Na 0.000 0.500 0.000  0.00
O 0.201 0.401 0.702  0.14
Na 0.000 0.000 0.000  0.00
Sr 0.500 0.500 0.500  0.01
O 0.201 0.001 0.702  0.14
O 0.799 0.999 0.298  0.14
O 0.199 0.999 0.298  0.14
Na 0.500 0.500 0.000  0.00
O 0.746 0.492 0.739  -0.14
Sr 0.500 0.000 0.500  0.01
Rh 0.000 0.000 0.500  1.13
O 0.801 0.001 0.702  0.14

Its density of states at the Fermi level is 10.027 states/eV per cell. As for the space group: No. 166. The calculation puts the total moment at 1.92 μB per cell. The formation energy without anion corrections is -1.6662 eV/atom.

---

The following is a DFT calculation (PBE-GGA) of an optimized crystal structure of NaSrRhO4.

Cell: 3.956 3.956 6.794 Å, 106.93 106.93 90.00°
Each line ends with the local moment (μB).
Element x y z (fractional)
Sr 0.356 0.356 0.713  0.01
O 0.494 0.994 0.988  0.17
O 0.160 0.160 0.320  0.32
O 0.994 0.494 0.988  0.17
Na 0.648 0.648 0.295  0.00
O 0.842 0.842 0.684  0.18
Rh 0.006 0.006 0.012  1.11

Its density of states at the Fermi level is 4.079 states/eV per cell. As for the space group: No. 107. The calculation puts the total moment at 2.23 μB per cell. The formation energy without anion corrections is -1.4240 eV/atom.

---

The following is a DFT calculation (PBE-GGA) of an optimized crystal structure of NaSr2RhO6.

Cell: 5.724 6.004 8.135 Å, 90.00 89.98 90.00°
Each line ends with the local moment (μB).
Element x y z (fractional)
Sr 0.515 0.563 0.751  0.01
O 0.223 0.178 0.457  0.14
O 0.327 0.728 0.450  0.12
O 0.412 0.972 0.728  0.19
O 0.277 0.678 0.043  0.14
O 0.827 0.772 0.950  0.12
Sr 0.485 0.437 0.249  0.01
O 0.912 0.528 0.228  0.19
Sr 0.015 0.937 0.251  0.01
O 0.088 0.472 0.772  0.19
Rh 0.000 0.500 0.000  0.94
Na 0.500 0.000 0.000  0.00
Sr 0.985 0.063 0.749  0.01
Rh 0.500 0.000 0.500  0.94
Na 0.000 0.500 0.500  0.00
O 0.173 0.228 0.050  0.12
O 0.777 0.822 0.543  0.14
O 0.723 0.322 0.957  0.14
O 0.673 0.272 0.550  0.12
O 0.588 0.028 0.272  0.19

Its density of states at the Fermi level is 18.351 states/eV per cell. As for the space group: No. 14. The calculation puts the total moment at 4.38 μB per cell. The formation energy without anion corrections is -1.5792 eV/atom.

---

The following is a DFT calculation (PBE-GGA) of an optimized crystal structure of Na3Sr2RhO6.

Cell: 6.036 6.036 5.879 Å, 99.29 99.29 120.75°
Each line ends with the local moment (μB).
Element x y z (fractional)
Rh 0.000 0.000 0.000  1.06
O 0.070 0.346 0.218  0.12
Sr 0.331 0.669 0.000  0.01
O 0.654 0.930 0.782  0.12
Sr 0.669 0.331 0.000  0.01
Na 0.500 0.500 0.500  0.00
O 0.784 0.784 0.206  0.13
O 0.216 0.216 0.794  0.13
O 0.930 0.654 0.782  0.12
O 0.346 0.070 0.218  0.12
Na 0.857 0.143 0.500  0.00
Na 0.143 0.857 0.500  0.00

Its density of states at the Fermi level is 5.817 states/eV per cell. As for the space group: No. 12. The calculation puts the total moment at 2.01 μB per cell. The formation energy without anion corrections is -1.6804 eV/atom.

---

The following is a DFT calculation (PBE-GGA) of an optimized crystal structure of Na2Sr2RhO6.

Cell: 6.024 6.024 5.898 Å, 96.69 96.69 118.95°
Each line ends with the local moment (μB).
Element x y z (fractional)
Rh 0.000 0.000 0.500  1.44
O 0.317 0.039 0.693  0.20
O 0.683 0.961 0.307  0.20
O 0.216 0.216 0.296  0.18
O 0.784 0.784 0.704  0.18
Na 0.134 0.866 0.000  0.01
O 0.039 0.317 0.693  0.20
Sr 0.662 0.338 0.500  0.02
Sr 0.338 0.662 0.500  0.02
O 0.961 0.683 0.307  0.20
Na 0.866 0.134 0.000  0.01

Its density of states at the Fermi level is 2.217 states/eV per cell. As for the space group: No. 12. The calculation puts the total moment at 3.02 μB per cell. The formation energy without anion corrections is -1.6011 eV/atom.

---

The following is a DFT calculation (PBE-GGA) of an optimized crystal structure of NaTaRh2O.

Cell: 4.600 3.719 4.600 Å, 90.00 90.00 90.00°
Element x y z (fractional)
Rh 0.500 0.000 0.000
Na 0.000 0.000 0.000
Rh 0.000 0.000 0.500
O 0.000 0.500 0.000
Ta 0.500 0.500 0.500

Its density of states at the Fermi level is 4.648 states/eV per cell. As for the space group: No. 123. The calculation puts the total moment at 0.00 μB per cell. The formation energy without anion corrections is 1.1628 eV/atom.